Record 1
An optimized crystal structure of Pm4TmGe4. Source: the Alexandria database, functional GGA-PBE.

Cell: 6.0646 9.0242 9.0242 Å, 90.00 90.00 90.00°
Closest atoms and distances in Å follow each position.
Positions (direct):
Ge 0.8597 0.2633 0.8798  1 Ge 2.71, 1 Tm 2.75, 2 Pm 2.94-3.02
Ge 0.6403 0.7633 0.3798  1 Ge 2.71, 1 Tm 2.75, 2 Pm 2.94-3.02
Ge 0.3597 0.6202 0.7633  1 Ge 2.71, 1 Tm 2.75, 2 Pm 2.94-3.02
Tm 0.0000 0.0000 0.0000  4 Ge 2.75
Pm 0.6307 0.0792 0.3019  5 Ge 2.94-3.23
Ge 0.6403 0.2367 0.6202  1 Ge 2.71, 1 Tm 2.75, 2 Pm 2.94-3.02
Tm 0.5000 0.5000 0.5000  4 Ge 2.75
Pm 0.6307 0.9208 0.6981  5 Ge 2.94-3.23
Pm 0.3693 0.3019 0.9208  5 Ge 2.94-3.23
Pm 0.8693 0.4208 0.1981  5 Ge 2.94-3.23
Ge 0.8597 0.7367 0.1202  1 Ge 2.71, 1 Tm 2.75, 2 Pm 2.94-3.02
Ge 0.1403 0.8798 0.7367  1 Ge 2.71, 1 Tm 2.75, 2 Pm 2.94-3.02
Ge 0.3597 0.3798 0.2367  1 Ge 2.71, 1 Tm 2.75, 2 Pm 2.94-3.02
Pm 0.1307 0.1981 0.5792  5 Ge 2.94-3.23
Pm 0.3693 0.6981 0.0792  5 Ge 2.94-3.23
Ge 0.1403 0.1202 0.2633  1 Ge 2.71, 1 Tm 2.75, 2 Pm 2.94-3.02
Pm 0.8693 0.5792 0.8019  5 Ge 2.94-3.23
Pm 0.1307 0.8019 0.4208  5 Ge 2.94-3.23

Results
Size of the total moment   0.0 μB/f.u.
Fermi-level density of states   17.54 states/eV per cell
Formation enthalpy at 0 K   -58 kJ per mole of atoms
DFT total energy   -5.263 eV/atom


Record 2
An optimized crystal structure of TeMoPt2. Source: the Alexandria database, functional GGA-PBE.

Cell: 5.0986 6.2426 2.9351 Å, 62.29 89.82 118.58°
Closest atoms and distances in Å follow each position.
Positions (direct):
Te 0.5000 0.5000 0.0000  2 Mo 2.76, 2 Te 2.94, 8 Pt 2.94-2.95
Pt 0.0000 0.5000 0.5000  4 Pt 2.76-2.94, 4 Mo 2.94-2.95, 4 Te 2.94-2.95
Mo 0.5000 0.0000 0.5000  2 Te 2.76, 2 Mo 2.94, 8 Pt 2.94-2.95
Pt 0.0000 0.0000 0.0000  4 Pt 2.76-2.94, 4 Te 2.94-2.95, 4 Mo 2.94-2.95

Results
ΔE_f (raw)   0.18 eV per atom
Size of the total moment   0.0 μB/f.u.
Fermi-level density of states   3.84 states/eV per cell
DFT total energy   -6.335 eV/atom


Record 3
An optimized crystal structure of Hf3TaFe8. Source: the Alexandria database, functional GGA-PBE.

Cell: 4.9097 4.9097 8.5093 Å, 73.23 73.23 60.00°
Closest atoms and distances in Å follow each position.
Positions (direct):
Ta 0.8749 0.8749 0.3753  12 Fe 2.86-2.88, 4 Hf 2.99-3.00
Fe 0.9379 0.4391 0.6850  6 Fe 2.44-2.47
Fe 0.4391 0.9379 0.6850  6 Fe 2.44-2.47
Fe 0.4367 0.4367 0.1901  6 Fe 2.44-2.47
Hf 0.3750 0.3750 0.8749  12 Fe 2.88-2.90, 4 Hf 3.01-3.03
Fe 0.4367 0.9365 0.1901  6 Fe 2.44-2.47
Hf 0.9991 0.9991 0.0027  12 Fe 2.88-2.92, 1 Ta 2.99, 3 Hf 3.01
Fe 0.6875 0.6875 0.9375  6 Fe 2.47
Fe 0.9379 0.9379 0.6850  6 Fe 2.44-2.47
Fe 0.9365 0.4367 0.1901  6 Fe 2.44-2.47
Hf 0.5009 0.5009 0.4973  12 Fe 2.84-2.88, 3 Ta 3.00, 1 Hf 3.03
Fe 0.1877 0.1877 0.4370  6 Fe 2.44

Results
Energy above the lowest structure with this stoichiometry   0 meV/atom
Size of the total moment   12.8 μB/f.u.
Fermi-level density of states   8.18 states/eV per cell
Formation enthalpy at 0 K   -30 kJ per mole of atoms
DFT total energy   -9.425 eV/atom


Record 4
An optimized crystal structure of CaNdEuHo. Source: the Alexandria database, functional GGA-PBE.

Cell: 5.9124 5.9124 5.9124 Å, 60.00 60.00 60.00°
Closest atoms and distances in Å follow each position.
Positions (direct):
Nd 0.0000 0.0000 0.0000  4 Ho 3.62, 4 Ca 3.62
Ca 0.7500 0.7500 0.7500  4 Eu 3.62, 4 Nd 3.62
Eu 0.5000 0.5000 0.5000  4 Ca 3.62, 4 Ho 3.62
Ho 0.2500 0.2500 0.2500  4 Nd 3.62, 4 Eu 3.62

Results
Size of the total moment   7.2 μB/f.u.
Fermi-level density of states   5.37 states/eV per cell
Formation enthalpy at 0 K   13 kJ per mole of atoms
DFT total energy   -5.274 eV/atom


Record 5
An optimized crystal structure of Li2ScHg. Source: the Alexandria database, functional GGA-PBE.

Cell: 4.6942 4.1389 4.1389 Å, 90.00 90.00 90.00°
Closest atoms and distances in Å follow each position.
Positions (direct):
Li 0.0000 0.0000 0.0000  4 Li 2.93, 4 Hg 3.13, 4 Sc 3.13
Hg 0.5000 0.0000 0.5000  4 Sc 2.93, 8 Li 3.13
Li 0.0000 0.5000 0.5000  4 Li 2.93, 4 Hg 3.13, 4 Sc 3.13
Sc 0.5000 0.5000 0.0000  4 Hg 2.93, 8 Li 3.13

Results
Size of the total moment   0.4 μB/f.u.
Fermi-level density of states   4.26 states/eV per cell
Formation enthalpy at 0 K   -13 kJ per mole of atoms
DFT total energy   -2.751 eV/atom


Record 6
An optimized crystal structure of Sm2ScCu3Ni12. Source: the Alexandria database, functional GGA-PBE.

Cell: 6.3367 6.3367 6.3367 Å, 83.04 83.04 83.04°
Closest atoms and distances in Å follow each position.
Positions (direct):
Cu 0.0000 0.0000 0.5000  6 Ni 2.50-2.65
Sm 0.2947 0.2947 0.2947  9 Ni 2.66-2.83, 3 Cu 2.89
Ni 0.4085 0.8622 0.4085  3 Ni 2.32-2.50
Ni 0.7997 0.7997 0.2870  5 Ni 2.32-2.54, 1 Sc 2.41, 1 Cu 2.50
Ni 0.8622 0.4085 0.4085  3 Ni 2.32-2.50
Ni 0.7997 0.2870 0.7997  5 Ni 2.32-2.54, 1 Sc 2.41, 1 Cu 2.50
Ni 0.2870 0.7997 0.7997  5 Ni 2.32-2.54, 1 Sc 2.41, 1 Cu 2.50
Ni 0.7130 0.2003 0.2003  5 Ni 2.32-2.54, 1 Sc 2.41, 1 Cu 2.50
Cu 0.0000 0.5000 0.0000  6 Ni 2.50-2.65
Ni 0.2003 0.2003 0.7130  5 Ni 2.32-2.54, 1 Sc 2.41, 1 Cu 2.50
Ni 0.1378 0.5915 0.5915  3 Ni 2.32-2.50
Ni 0.5915 0.5915 0.1378  3 Ni 2.32-2.50
Ni 0.4085 0.4085 0.8622  3 Ni 2.32-2.50
Sm 0.7053 0.7053 0.7053  9 Ni 2.66-2.83, 3 Cu 2.89
Ni 0.2003 0.7130 0.2003  5 Ni 2.32-2.54, 1 Sc 2.41, 1 Cu 2.50
Sc 0.0000 0.0000 0.0000  6 Ni 2.41
Cu 0.5000 0.0000 0.0000  6 Ni 2.50-2.65
Ni 0.5915 0.1378 0.5915  3 Ni 2.32-2.50

Results
Size of the total moment   0.0 μB/f.u.
Fermi-level density of states   18.52 states/eV per cell
Formation enthalpy at 0 K   -2 kJ per mole of atoms
DFT total energy   -5.431 eV/atom


Record 7
An optimized crystal structure of BaTlPt2Pb. Source: the Alexandria database, functional GGA-PBE.

Cell: 5.5581 6.2966 5.5581 Å, 90.00 90.00 90.00°
Closest atoms and distances in Å follow each position.
Positions (direct):
Pt 0.0000 0.0000 0.5000  2 Ba 2.78
Pt 0.5000 0.0000 0.0000  2 Ba 2.78
Tl 0.5000 0.5000 0.5000  4 Pb 3.93, 8 Pt 4.20
Pb 0.0000 0.5000 0.0000  2 Ba 3.15
Ba 0.0000 0.0000 0.0000  4 Pt 2.78

Results
Size of the total moment   0.0 μB/f.u.
Fermi-level density of states   5.42 states/eV per cell
Formation enthalpy at 0 K   101 kJ per mole of atoms
DFT total energy   -2.972 eV/atom


Record 8
An optimized crystal structure of RbP2PdPt. Source: the Alexandria database, functional GGA-PBE.

Cell: 5.2384 4.8842 5.2384 Å, 90.00 90.00 90.00°
Closest atoms and distances in Å follow each position.
Positions (direct):
Pt 0.5000 0.5000 0.5000  8 P 3.58, 4 Pd 3.70
Pd 0.0000 0.5000 0.0000  2 Rb 2.44
P 0.5000 0.0000 0.0000  2 Rb 2.62
Rb 0.0000 0.0000 0.0000  2 Pd 2.44, 4 P 2.62
P 0.0000 0.0000 0.5000  2 Rb 2.62

Results
Size of the total moment   0.0 μB/f.u.
Fermi-level density of states   5.66 states/eV per cell
Formation enthalpy at 0 K   225 kJ per mole of atoms
DFT total energy   -2.276 eV/atom


Record 9
An optimized crystal structure of HfNb3Ge2. Source: the Alexandria database, functional GGA-PBE.

Cell: 3.5975 8.9826 8.2836 Å, 123.28 90.00 101.55°
Closest atoms and distances in Å follow each position.
Positions (direct):
Hf 0.1177 0.2355 0.1029  6 Ge 2.76-2.91
Nb 0.3479 0.6958 0.1645  4 Ge 2.67-2.80
Nb 0.3163 0.6327 0.5298  4 Ge 2.68-2.88, 4 Nb 2.76-2.85
Nb 0.0501 0.1002 0.4390  1 Nb 2.48, 2 Ge 2.64
Ge 0.4923 0.9845 0.8319  4 Nb 2.64-2.80, 1 Ge 2.64, 4 Hf 2.76-2.91
Ge 0.7599 0.5198 0.2408  7 Nb 2.67-2.88, 2 Hf 2.76
Nb 0.9499 0.8998 0.5610  1 Nb 2.48, 2 Ge 2.64
Ge 0.5077 0.0155 0.1681  4 Nb 2.64-2.80, 1 Ge 2.64, 4 Hf 2.76-2.91
Nb 0.6837 0.3673 0.4702  4 Ge 2.68-2.88, 4 Nb 2.76-2.85
Hf 0.8823 0.7645 0.8971  6 Ge 2.76-2.91
Ge 0.2401 0.4802 0.7592  7 Nb 2.67-2.88, 2 Hf 2.76
Nb 0.6521 0.3042 0.8355  4 Ge 2.67-2.80

Results
Size of the total moment   0.0 μB/f.u.
Fermi-level density of states   5.73 states/eV per cell
Formation enthalpy at 0 K   -40 kJ per mole of atoms
DFT total energy   -8.647 eV/atom


Record 10
An optimized crystal structure of Rb2ThPa3O12. Source: the Alexandria database, functional GGA-PBE.

Cell: 8.2349 8.2349 8.2349 Å, 60.22 60.22 60.22°
Closest atoms and distances in Å follow each position.
Positions (direct):
O 0.9320 0.3298 0.9320  1 Pa 2.11, 1 Th 2.30
Rb 0.3276 0.3276 0.3276  6 O 3.11-3.26
O 0.0680 0.0680 0.6702  1 Pa 2.11, 1 Th 2.30
O 0.9525 0.3072 0.3072  2 Pa 2.17
O 0.0475 0.6928 0.6928  2 Pa 2.17
Pa 0.5000 0.0000 0.0000  6 O 2.11-2.17
Pa 0.0000 0.0000 0.5000  6 O 2.11-2.17
O 0.3072 0.3072 0.9525  2 Pa 2.17
O 0.9320 0.9320 0.3298  1 Pa 2.11, 1 Th 2.30
O 0.6928 0.0475 0.6928  2 Pa 2.17
O 0.6702 0.0680 0.0680  1 Pa 2.11, 1 Th 2.30
O 0.3072 0.9525 0.3072  2 Pa 2.17
O 0.3298 0.9320 0.9320  1 Pa 2.11, 1 Th 2.30
O 0.0680 0.6702 0.0680  1 Pa 2.11, 1 Th 2.30
Rb 0.6724 0.6724 0.6724  6 O 3.11-3.26
O 0.6928 0.6928 0.0475  2 Pa 2.17
Th 0.0000 0.0000 0.0000  6 O 2.30
Pa 0.0000 0.5000 0.0000  6 O 2.11-2.17

Results
ΔE_f (raw)   -2.87 eV per atom
Size of the total moment   2.6 μB/f.u.
Fermi-level density of states   18.23 states/eV per cell
DFT total energy   -8.278 eV/atom


Record 11
An optimized crystal structure of Ca3Sb2. Source: the Alexandria database, functional GGA-PBE.

Cell: 5.7800 5.7800 5.7800 Å, 90.00 90.00 90.00°
Closest atoms and distances in Å follow each position.
Positions (direct):
Sb 0.5000 0.5000 0.5000  6 Ca 2.89
Ca 0.5000 0.5000 0.0000  2 Sb 2.89
Ca 0.0000 0.5000 0.5000  2 Sb 2.89
Ca 0.5000 0.0000 0.5000  2 Sb 2.89
Sb 0.0000 0.0000 0.0000  12 Ca 4.09

Results
Energy above the lowest structure with this stoichiometry   389 meV/atom
ΔE_f (raw)   -0.60 eV per atom
Size of the total moment   0.0 μB/f.u.
Fermi-level density of states   0.09 states/eV per cell
DFT total energy   -3.451 eV/atom


Question: Among the records above, which one has the lowest DFT total energy?
Answer: Hf3TaFe8


Question: size of the total moment of number 1 (Pm4TmGe4)?
Answer: 0.0 μB/f.u.


Repeat the tenth record exactly.
An optimized crystal structure of Rb2ThPa3O12. Source: the Alexandria database, functional GGA-PBE.

Cell: 8.2349 8.2349 8.2349 Å, 60.22 60.22 60.22°
Closest atoms and distances in Å follow each position.
Positions (direct):
O 0.9320 0.3298 0.9320  1 Pa 2.11, 1 Th 2.30
Rb 0.3276 0.3276 0.3276  6 O 3.11-3.26
O 0.0680 0.0680 0.6702  1 Pa 2.11, 1 Th 2.30
O 0.9525 0.3072 0.3072  2 Pa 2.17
O 0.0475 0.6928 0.6928  2 Pa 2.17
Pa 0.5000 0.0000 0.0000  6 O 2.11-2.17
Pa 0.0000 0.0000 0.5000  6 O 2.11-2.17
O 0.3072 0.3072 0.9525  2 Pa 2.17
O 0.9320 0.9320 0.3298  1 Pa 2.11, 1 Th 2.30
O 0.6928 0.0475 0.6928  2 Pa 2.17
O 0.6702 0.0680 0.0680  1 Pa 2.11, 1 Th 2.30
O 0.3072 0.9525 0.3072  2 Pa 2.17
O 0.3298 0.9320 0.9320  1 Pa 2.11, 1 Th 2.30
O 0.0680 0.6702 0.0680  1 Pa 2.11, 1 Th 2.30
Rb 0.6724 0.6724 0.6724  6 O 3.11-3.26
O 0.6928 0.6928 0.0475  2 Pa 2.17
Th 0.0000 0.0000 0.0000  6 O 2.30
Pa 0.0000 0.5000 0.0000  6 O 2.11-2.17

Results
ΔE_f (raw)   -2.87 eV per atom
Size of the total moment   2.6 μB/f.u.
Fermi-level density of states   18.23 states/eV per cell
DFT total energy   -8.278 eV/atom


Question: Among the records above, which one has the highest Fermi-level density of states?
Answer: Sm2ScCu3Ni12